1.
# NdSnHgPt

A relaxed NdSnHgPt crystal (PBE, the Alexandria database).

extended XYZ file:
```
4
Lattice="0.000 3.590 3.590 3.590 0.000 3.590 3.590 3.590 0.000" Properties=species:S:1:pos:R:3 pbc="T T T"
Nd 0.000 0.000 0.000
Sn 3.590 3.590 3.590
Hg 1.795 1.795 1.795
Pt 5.385 5.385 5.385
```

Summary:
Symmetry: No. 216



2.
# Nd2Sn3HgPt4

A relaxed Nd2Sn3HgPt4 crystal (PBE, the Alexandria database).

extended XYZ file:
```
10
Lattice="4.552 0.000 0.000 0.000 4.552 0.000 0.000 0.000 10.971" Properties=species:S:1:pos:R:3 pbc="T T T"
Nd 0.000 2.276 2.730
Nd 2.276 0.000 8.241
Sn 0.000 2.276 9.585
Sn 2.276 0.000 1.386
Sn 2.276 2.276 5.486
Hg 0.000 0.000 5.486
Pt 0.000 0.000 0.000
Pt 0.000 2.276 7.022
Pt 2.276 0.000 3.949
Pt 2.276 2.276 0.000
```

Summary:
Symmetry: No. 115



3.
# TbNdHgPt

A relaxed TbNdHgPt crystal (PBE, the Alexandria database).

extended XYZ file:
```
4
Lattice="0.000 3.668 3.668 3.668 0.000 3.668 3.668 3.668 0.000" Properties=species:S:1:pos:R:3 pbc="T T T"
Tb 0.000 0.000 0.000
Nd 3.668 3.668 3.668
Hg 5.502 5.502 5.502
Pt 1.834 1.834 1.834
```

Summary:
Symmetry: No. 216



4.
# NdTlHgPt

A relaxed NdTlHgPt crystal (PBE, the Alexandria database).

extended XYZ file:
```
4
Lattice="0.000 3.624 3.624 3.624 0.000 3.624 3.624 3.624 0.000" Properties=species:S:1:pos:R:3 pbc="T T T"
Nd 0.000 0.000 0.000
Tl 3.624 3.624 3.624
Hg 5.436 5.436 5.436
Pt 1.812 1.812 1.812
```

Summary:
Symmetry: No. 216



5.
# Nd2Zn2HgPt5

A relaxed Nd2Zn2HgPt5 crystal (PBE, the Alexandria database).

extended XYZ file:
```
20
Lattice="9.808 0.000 0.000 0.000 9.808 0.000 0.000 0.000 3.894" Properties=species:S:1:pos:R:3 pbc="T T T"
Nd 1.753 3.151 0.000
Nd 3.151 8.055 0.000
Nd 6.656 1.753 0.000
Nd 8.055 6.656 0.000
Zn 1.162 6.066 0.000
Zn 3.742 1.162 0.000
Zn 6.066 8.645 0.000
Zn 8.645 3.742 0.000
Hg 0.000 0.000 0.000
Hg 4.904 4.904 0.000
Pt 0.000 4.904 1.947
Pt 0.634 7.743 1.947
Pt 2.065 0.634 1.947
Pt 2.839 5.538 1.947
Pt 4.270 2.839 1.947
Pt 4.904 0.000 1.947
Pt 5.538 6.968 1.947
Pt 6.968 4.270 1.947
Pt 7.743 9.173 1.947
Pt 9.173 2.065 1.947
```

Summary:
Symmetry: No. 127



6.
# Nd2Zn3HgPt4

A relaxed Nd2Zn3HgPt4 crystal (PBE, the Alexandria database).

extended XYZ file:
```
10
Lattice="4.115 0.000 0.000 0.000 4.115 0.000 0.000 0.000 11.728" Properties=species:S:1:pos:R:3 pbc="T T T"
Nd 0.000 2.058 2.803
Nd 2.058 0.000 8.924
Zn 0.000 2.058 10.226
Zn 2.058 0.000 1.502
Zn 2.058 2.058 5.864
Hg 0.000 0.000 5.864
Pt 0.000 0.000 0.000
Pt 0.000 2.058 7.735
Pt 2.058 0.000 3.992
Pt 2.058 2.058 0.000
```

Summary:
Symmetry: No. 115



7.
# NdZnHgPt

A relaxed NdZnHgPt crystal (PBE, the Alexandria database).

extended XYZ file:
```
4
Lattice="0.000 3.500 3.500 3.500 0.000 3.500 3.500 3.500 0.000" Properties=species:S:1:pos:R:3 pbc="T T T"
Nd 0.000 0.000 0.000
Zn 3.500 3.500 3.500
Hg 1.750 1.750 1.750
Pt 5.250 5.250 5.250
```

Summary:
Symmetry: No. 216



8.
# NdPuHg4

A relaxed NdPuHg4 crystal (PBE, the Alexandria database).

extended XYZ file:
```
6
Lattice="3.299 0.000 0.000 0.000 5.118 0.000 0.000 0.000 8.862" Properties=species:S:1:pos:R:3 pbc="T T T"
Nd 0.000 0.000 0.000
Pu 0.000 2.559 4.431
Hg 1.650 0.000 2.963
Hg 1.650 0.000 5.899
Hg 1.650 2.559 1.485
Hg 1.650 2.559 7.377
```

Summary:
Symmetry: No. 47



9.
# Nd2PuHg4

A relaxed Nd2PuHg4 crystal (PBE, the Alexandria database).

extended XYZ file:
```
7
Lattice="5.337 0.000 0.000 0.000 5.337 0.000 0.000 0.000 7.287" Properties=species:S:1:pos:R:3 pbc="T T T"
Nd 0.000 0.000 0.000
Nd 2.668 2.668 3.644
Pu 0.000 0.000 3.644
Hg 0.000 2.668 1.743
Hg 0.000 2.668 5.544
Hg 2.668 0.000 1.743
Hg 2.668 0.000 5.544
```

Summary:
Symmetry: No. 123



10.
# Nd2PuHg5

A relaxed Nd2PuHg5 crystal (PBE, the Alexandria database).

extended XYZ file:
```
8
Lattice="-2.688 2.688 7.336 2.688 -2.688 7.336 2.688 2.688 -7.336" Properties=species:S:1:pos:R:3 pbc="T T T"
Nd 0.000 0.000 3.457
Nd 0.000 0.000 11.216
Pu 0.000 0.000 7.336
Hg 0.000 0.000 0.000
Hg 2.688 0.000 1.780
Hg 2.688 0.000 5.556
Hg 0.000 2.688 1.780
Hg 0.000 2.688 5.556
```

Summary:
Symmetry: No. 139



11.
# Nd6PuHg5

A relaxed Nd6PuHg5 crystal (PBE, the Alexandria database).

extended XYZ file:
```
12
Lattice="8.545 -3.887 0.000 8.545 3.887 0.000 -1.716 0.000 5.145" Properties=species:S:1:pos:R:3 pbc="T T T"
Nd 5.109 1.955 1.709
Nd 8.545 2.042 0.000
Nd 10.266 1.955 3.436
Nd 5.109 -1.955 1.709
Nd 8.545 -2.042 0.000
Nd 10.266 -1.955 3.436
Pu 7.687 0.000 2.573
Hg -0.858 0.000 2.573
Hg 2.596 0.000 0.869
Hg 4.417 0.000 4.337
Hg 10.957 0.000 0.808
Hg 12.779 0.000 4.276
```

Summary:
Symmetry: No. 12



12.
# NdPuHg4

A relaxed NdPuHg4 crystal (PBE, the Alexandria database).

extended XYZ file:
```
6
Lattice="0.000 4.259 4.259 4.259 0.000 4.259 4.259 4.259 0.000" Properties=species:S:1:pos:R:3 pbc="T T T"
Nd 0.000 0.000 0.000
Pu 2.129 2.129 2.129
Hg 5.324 3.193 3.193
Hg 3.193 5.324 3.193
Hg 3.193 3.193 5.324
Hg 5.324 5.324 5.324
```

Summary:
Symmetry: No. 216



| no. | DFT formation energy (eV per atom) |
| --- | --- |
| 1 | -0.61 |
| 2 | -0.74 |
| 3 | -0.75 |
| 4 | -0.48 |
| 5 | -0.70 |
| 6 | -0.70 |
| 7 | -0.49 |
| 8 | -0.30 |
| 9 | -0.23 |
| 10 | -0.31 |
| 11 | -0.34 |
| 12 | -0.13 |